A plane-wave DFT calculation with GGA+U was carried out for CdCoPO2 after structural relaxation.

Calculated values
Offset from the most stable computed form in eV/atom: 0.000
Raw total energy in eV per atom: -4.37
Total magnetization in μB per formula unit: 2.8

a = 3.7084 Å, b = 3.7084 Å, c = 4.9559 Å
α = 90.00°, β = 90.00°, γ = 90.00°
Atoms (fractional coordinates):
1 P 0.0000 0.0000 0.5000
2 Cd 0.5000 0.5000 0.5000
3 Co 0.0000 0.0000 0.0000
4 O 0.5000 0.0000 0.0000
5 O 0.0000 0.5000 0.0000